The following is a DFT calculation (PBE) of ZnGaO2 after structural relaxation.

The structure belongs to space group P2_1/m (No. 11); the cell edges are 5.417, 3.023 and 6.219 Å and the angles 90.00°, 105.87° and 90.00°. The distinct sites, in fractional coordinates, are Zn at (0.180, 0.250, 0.498), Ga at (0.254, 0.750, 0.000), O at (0.147, 0.250, 0.165) and O at (0.371, 0.250, 0.827).

As for the density: 5667 kg/m³. The value obtained for the total energy is -4.88 eV per atom. The formation energy without anion corrections is -1322.4 meV/atom. The offset from the most stable computed form is 0.0 meV per atom.



The following is a DFT calculation (PBE) of Pu2GaB2Ru5 after structural relaxation.

The structure belongs to space group P4/mbm (No. 127); the cell edges are 9.594, 9.594 and 3.101 Å and the angles 90.00°, 90.00° and 90.00°. The distinct sites, in fractional coordinates, are Pu at (0.176, 0.324, 0.000), Ga at (0.000, 0.000, 0.000), B at (0.124, 0.624, 0.000), Ru at (0.000, 0.500, 0.500) and Ru at (0.070, 0.782, 0.500).

As for the density: 12623 kg/m³. Its formation enthalpy at 0 K is -384 meV/atom. The value obtained for the total energy is -9.53 eV per atom.